1) The following is a GGA-PBE calculation of a geometry-optimized LiCaP2 structure, from Alexandria.

Cell and atoms, written as extended XYZ:
```
4
Lattice="-3.3718 1.2672 -0.3745 -0.5297 -2.2057 -2.6942 -2.4173 -6.1609 0.9175" Properties=species:S:1:pos:R:3 pbc="T T T"
Ca -2.4226 -1.4581 -0.6314
P -2.3049 -5.9256 0.7023
P -1.5858 -4.4186 -0.6732
Li -3.8961 -5.6414 -1.5198
```

Computed properties:
DOS at the Fermi energy = 0.22 states/eV/atom



2) The following is a GGA-PBE calculation of a geometry-optimized LiCaP2 structure, from Alexandria.

Cell and atoms, written as extended XYZ:
```
16
Lattice="-0.6798 3.9341 1.2105 -1.1530 -2.3101 6.8599 9.6555 1.0594 1.9796" Properties=species:S:1:pos:R:3 pbc="T T T"
Ca 2.6423 2.4825 4.1990
Ca 5.1804 0.2008 5.8510
Ca 8.0929 1.6121 2.9000
Ca -0.2702 1.0712 7.1501
P 1.2239 0.7487 1.8485
P 6.5987 1.9346 8.2016
P 7.8281 0.2901 7.0477
P 2.5899 1.5862 7.0827
P -0.0054 2.3932 3.0024
P 5.2327 1.0971 2.9674
P 5.5447 2.9108 4.4373
P 2.2779 -0.2275 5.6127
Li 7.4663 2.7514 6.0343
Li 3.5364 1.3726 1.1196
Li 0.3564 -0.0681 4.0158
Li 4.2863 1.3107 8.9305
```

Computed properties:
DOS at the Fermi energy = 0.17 states/eV/atom



3) The following is a GGA-PBE calculation of a geometry-optimized LiCaP2 structure, from Alexandria.

Cell and atoms, written as extended XYZ:
```
4
Lattice="-1.1081 -3.5158 3.3595 0.7787 -2.4458 -4.2762 2.9435 -0.2683 0.6898" Properties=species:S:1:pos:R:3 pbc="T T T"
P 0.0000 0.0000 0.0000
P -0.1647 -2.9808 -0.4584
Li 1.8611 -1.3570 -1.7932
Ca 0.9177 -1.8920 2.0246
```

Computed properties:
DOS at the Fermi energy = 0.33 states/eV/atom



It is 2) that is most stable; the runner-up trails by 72 meV per atom.



1) The following is a GGA-PBE calculation of a geometry-optimized LiCaP2 structure, from Alexandria.

Cell and atoms, written as extended XYZ:
```
4
Lattice="-3.4327 -2.7810 -4.0631 0.7955 -5.5378 -2.1741 -0.6477 3.4943 4.8370" Properties=species:S:1:pos:R:3 pbc="T T T"
P -0.1857 -0.5858 -0.4392
P -0.5308 -2.9292 -0.0987
Li -2.6438 -1.5475 -1.0407
Ca -1.2431 -3.9213 -2.9401
```

Computed properties:
DOS at the Fermi energy = 0.39 states/eV/atom



2) The following is a GGA-PBE calculation of a geometry-optimized LiCaP2 structure, from Alexandria.

Cell and atoms, written as extended XYZ:
```
8
Lattice="-1.2629 3.4906 -2.6021 -3.8969 -2.1145 -0.9452 -6.0124 4.1771 4.5727" Properties=species:S:1:pos:R:3 pbc="T T T"
P -4.2762 0.6557 -0.1430
P -8.4696 4.6378 0.4602
P -2.5998 2.4649 -0.2310
P -6.9986 3.3480 1.9649
Ca -4.9276 4.1779 0.0985
Ca 0.0000 0.0000 0.0000
Li -6.2446 1.3753 0.9270
Li -2.5799 0.6881 -1.7736
```

Computed properties:
DOS at the Fermi energy = 0.20 states/eV/atom



It is 2) that is most stable; the runner-up trails by 28 meV per atom.



1) The following is a GGA-PBE calculation of a geometry-optimized LiCaP2 structure, from Alexandria.

Cell and atoms, written as extended XYZ:
```
4
Lattice="-4.6666 -0.7813 -0.2592 -2.7899 3.0586 -2.3057 -1.9693 -1.2378 -4.1284" Properties=species:S:1:pos:R:3 pbc="T T T"
P -7.0693 0.7796 -5.0200
P -2.3564 0.2599 -1.6733
Li 0.0000 0.0000 0.0000
Ca -4.7129 0.5197 -3.3467
```

Computed properties:
DOS at the Fermi energy = 0.55 states/eV/atom



2) The following is a GGA-PBE calculation of a geometry-optimized LiCaP2 structure, from Alexandria.

Cell and atoms, written as extended XYZ:
```
4
Lattice="-2.2478 -0.4623 -2.0091 1.8409 -1.7902 -1.6458 -2.3719 -6.1877 4.0776" Properties=species:S:1:pos:R:3 pbc="T T T"
P -2.3372 -6.0973 4.0180
P -1.2206 -3.1843 2.0984
Li -1.9824 -5.7671 1.2308
Ca -0.7964 -2.6732 -0.8080
```

Computed properties:
DOS at the Fermi energy = 0.28 states/eV/atom



It is 2) that is most stable; the runner-up trails by 34 meV per atom.



1) The following is a GGA-PBE calculation of a geometry-optimized LiCaP2 structure, from Alexandria.

Cell and atoms, written as extended XYZ:
```
4
Lattice="4.9948 0.0011 0.0000 1.3967 4.7955 0.0000 -3.1957 -2.3983 2.9972" Properties=species:S:1:pos:R:3 pbc="T T T"
Li 0.6983 2.3978 1.4986
Ca 2.4974 0.0005 1.4986
P 0.0000 0.0000 0.0000
P 3.1957 2.3983 0.0000
```

Computed properties:
DOS at the Fermi energy = 0.24 states/eV/atom



2) The following is a GGA-PBE calculation of a geometry-optimized LiCaP2 structure, from Alexandria.

Cell and atoms, written as extended XYZ:
```
4
Lattice="-1.7349 1.8581 3.9493 -3.1051 -2.4159 2.5654 1.2588 -1.7541 4.1711" Properties=species:S:1:pos:R:3 pbc="T T T"
P 0.0000 0.0000 0.0000
P -0.8953 -0.5780 2.6715
Li -2.6860 -1.7339 8.0144
Ca -1.7906 -1.1559 5.3429
```

Computed properties:
DOS at the Fermi energy = 0.50 states/eV/atom



It is 1) that is most stable; the runner-up trails by 361 meV per atom.



1) The following is a GGA-PBE calculation of a geometry-optimized LiCaP3 structure, from Alexandria.

Cell and atoms, written as extended XYZ:
```
5
Lattice="5.2230 0.0000 0.0000 0.0000 5.2230 0.0000 0.0000 0.0000 5.2230" Properties=species:S:1:pos:R:3 pbc="T T T"
P 0.0000 0.0000 2.6115
P 0.0000 2.6115 0.0000
P 2.6115 0.0000 0.0000
Ca 0.0000 0.0000 0.0000
Li 2.6115 2.6115 2.6115
```

Computed properties:
DOS at the Fermi energy = 0.50 states/eV/atom



2) The following is a GGA-PBE calculation of a geometry-optimized LiCaP3 structure, from Alexandria.

Cell and atoms, written as extended XYZ:
```
5
Lattice="4.5103 0.0000 0.0000 0.0000 4.5103 0.0000 0.0000 0.0000 4.5103" Properties=species:S:1:pos:R:3 pbc="T T T"
P 0.0000 0.0000 2.2552
P 2.2552 0.0000 0.0000
P 0.0000 2.2552 0.0000
Li 0.0000 0.0000 0.0000
Ca 2.2552 2.2552 2.2552
```

Computed properties:
DOS at the Fermi energy = 0.48 states/eV/atom



It is 2) that is most stable; the runner-up trails by 700 meV per atom.



1) The following is a GGA-PBE calculation of a geometry-optimized Li3CaP structure, from Alexandria.

Cell and atoms, written as extended XYZ:
```
5
Lattice="-0.6909 -1.3352 -4.9248 1.5912 -4.7782 1.0723 -4.8481 -1.3780 1.0538" Properties=species:S:1:pos:R:3 pbc="T T T"
Li 0.7956 -2.3891 0.5361
Li -2.4240 -0.6890 0.5269
Li -0.3455 -0.6676 -2.4624
P -1.9739 -3.7458 -1.3993
Ca 0.0000 0.0000 0.0000
```

Computed properties:
DOS at the Fermi energy = 0.27 states/eV/atom



2) The following is a GGA-PBE calculation of a geometry-optimized Li3CaP structure, from Alexandria.

Cell and atoms, written as extended XYZ:
```
5
Lattice="-2.6350 0.9653 3.8467 3.2063 -2.1997 2.7484 2.3343 4.1112 0.5673" Properties=species:S:1:pos:R:3 pbc="T T T"
Li 1.6032 -1.0999 1.3742
Li 1.1671 2.0556 0.2837
Li -1.3175 0.4827 1.9234
Ca 1.4528 1.4384 3.5812
P 0.0000 0.0000 0.0000
```

Computed properties:
DOS at the Fermi energy = 0.39 states/eV/atom



It is 2) that is most stable; the runner-up trails by 1299 meV per atom.



1) The following is a GGA-PBE calculation of a geometry-optimized LiCaPS2 structure, from Alexandria.

Cell and atoms, written as extended XYZ:
```
5
Lattice="-2.1347 -4.2063 -0.3141 0.6621 -0.6818 4.6309 -3.7398 1.8378 0.8053" Properties=species:S:1:pos:R:3 pbc="T T T"
P -1.8699 0.9189 0.4027
S -1.0674 -2.1031 -0.1571
S 0.3311 -0.3409 2.3154
Li 0.0000 0.0000 0.0000
Ca -2.6062 -1.5252 2.5610
```

Computed properties:
DOS at the Fermi energy = 0.71 states/eV/atom



2) The following is a GGA-PBE calculation of a geometry-optimized LiCaPS2 structure, from Alexandria.

Cell and atoms, written as extended XYZ:
```
5
Lattice="5.3114 0.0000 0.0000 0.0000 5.3114 0.0000 0.0000 0.0000 5.4295" Properties=species:S:1:pos:R:3 pbc="T T T"
Ca 0.0000 0.0000 0.0000
Li 2.6557 2.6557 2.7148
S 2.6557 0.0000 0.0000
S 0.0000 2.6557 0.0000
P 0.0000 0.0000 2.7148
```

Computed properties:
DOS at the Fermi energy = 0.86 states/eV/atom



It is 1) that is most stable; the runner-up trails by 476 meV per atom.



1) The following is a GGA-PBE calculation of a geometry-optimized LiCaP2S structure, from Alexandria.

Cell and atoms, written as extended XYZ:
```
5
Lattice="-1.8754 2.9691 -3.9528 -4.8742 -1.2739 1.3556 -0.1937 4.1802 3.2319" Properties=species:S:1:pos:R:3 pbc="T T T"
S -2.4371 -0.6370 0.6778
P -0.0968 2.0901 1.6160
P -0.9377 1.4846 -1.9764
Li -3.4716 2.9377 0.3174
Ca 0.0000 0.0000 0.0000
```

Computed properties:
DOS at the Fermi energy = 0.78 states/eV/atom



2) The following is a GGA-PBE calculation of a geometry-optimized LiCaP2S structure, from Alexandria.

Cell and atoms, written as extended XYZ:
```
5
Lattice="-3.3202 -2.8106 0.2146 2.6890 -3.0588 1.5435 -0.9632 1.4916 4.6338" Properties=species:S:1:pos:R:3 pbc="T T T"
P -1.6601 -1.4053 0.1073
P 1.3445 -1.5294 0.7717
Ca -0.7972 -2.1889 3.1959
S -0.4816 0.7458 2.3169
Li 0.0000 0.0000 0.0000
```

Computed properties:
DOS at the Fermi energy = 0.89 states/eV/atom



It is 2) that is most stable; the runner-up trails by 582 meV per atom.



1) The following is a GGA-PBE calculation of a geometry-optimized LiCaSnP2 structure, from Alexandria.

Cell and atoms, written as extended XYZ:
```
5
Lattice="5.1868 0.0000 0.0000 0.0000 4.7180 0.0000 0.0000 0.0000 5.1868" Properties=species:S:1:pos:R:3 pbc="T T T"
Ca 2.5934 2.3590 2.5934
Li 0.0000 2.3590 0.0000
P 0.0000 0.0000 2.5934
P 2.5934 0.0000 0.0000
Sn 0.0000 0.0000 0.0000
```

Computed properties:
DOS at the Fermi energy = 0.45 states/eV/atom



2) The following is a GGA-PBE calculation of a geometry-optimized LiCaSnP2 structure, from Alexandria.

Cell and atoms, written as extended XYZ:
```
10
Lattice="4.1018 0.0000 0.0000 -2.0509 7.1798 0.3959 0.0000 -1.1849 8.1745" Properties=species:S:1:pos:R:3 pbc="T T T"
P 0.0000 0.8160 7.5548
P 2.0509 5.1790 1.0157
P 2.0509 1.7812 2.9503
P 0.0000 4.2137 5.6202
Ca 2.0509 1.8928 5.7870
Ca 0.0000 4.1021 2.7835
Li 0.0000 3.3690 7.9454
Li 2.0509 2.6260 0.6251
Sn 0.0000 0.6202 1.6762
Sn 2.0509 5.3747 6.8943
```

Computed properties:
DOS at the Fermi energy = 0.25 states/eV/atom



It is 2) that is most stable; the runner-up trails by 650 meV per atom.



1) The following is a GGA-PBE calculation of a geometry-optimized LiCa4Pb2 structure, from Alexandria.

Cell and atoms, written as extended XYZ:
```
7
Lattice="5.1730 0.0000 1.6162 2.3340 4.6165 1.6162 -0.0755 -0.0464 9.3285" Properties=species:S:1:pos:R:3 pbc="T T T"
Pb 1.8875 1.1607 3.0454
Pb 5.5441 3.4094 9.5154
Ca 6.5157 4.0069 6.4055
Ca 4.6482 2.8585 3.2958
Ca 0.9159 0.5632 6.1554
Ca 2.7834 1.7116 9.2650
Li 0.0000 0.0000 0.0000
```

Computed properties:
DOS at the Fermi energy = 0.39 states/eV/atom



2) The following is a GGA-PBE calculation of a geometry-optimized LiCa4Pb2 structure, from Alexandria.

Cell and atoms, written as extended XYZ:
```
7
Lattice="5.5791 0.0000 0.0000 0.0000 5.5791 0.0000 2.7895 2.7895 8.0009" Properties=species:S:1:pos:R:3 pbc="T T T"
Ca 2.7895 0.0000 0.0000
Ca 5.5791 5.5791 3.0157
Ca 0.0000 2.7895 0.0000
Ca 2.7895 2.7895 4.9852
Pb 2.7895 2.7895 1.8034
Pb 5.5791 5.5791 6.1975
Li 0.0000 0.0000 0.0000
```

Computed properties:
DOS at the Fermi energy = 0.76 states/eV/atom



It is 1) that is most stable; the runner-up trails by 395 meV per atom.



1) The following is a GGA-PBE calculation of a geometry-optimized Li2Ca2Pb structure, from Alexandria.

Cell and atoms, written as extended XYZ:
```
5
Lattice="-0.5260 0.2276 -3.7763 -2.6014 -2.7900 0.1942 -8.8005 5.5652 -0.3703" Properties=species:S:1:pos:R:3 pbc="T T T"
Li -5.4451 2.2558 -2.9688
Li -6.4828 0.7470 -0.9836
Ca -3.0237 0.1001 -1.5044
Ca -8.9042 2.9028 -2.4480
Pb 0.0000 0.0000 0.0000
```

Computed properties:
DOS at the Fermi energy = 0.63 states/eV/atom



2) The following is a GGA-PBE calculation of a geometry-optimized Li2Ca2Pb structure, from Alexandria.

Cell and atoms, written as extended XYZ:
```
10
Lattice="-6.4694 0.5155 -3.4395 -3.2534 -3.4644 5.6002 -0.8337 4.3785 2.2243" Properties=species:S:1:pos:R:3 pbc="T T T"
Li -2.0391 -1.2219 1.6410
Li -4.4814 -0.1204 -1.4427
Li -7.6837 -1.7271 0.5197
Li -5.2414 -2.8286 3.6034
Pb 0.0000 0.0000 0.0000
Pb -4.8614 -1.4745 1.0803
Ca -7.5321 -0.2413 3.2297
Ca -3.9396 -0.1181 4.3336
Ca -6.6169 1.5476 0.0514
Ca -3.0244 1.6708 1.1553
```

Computed properties:
DOS at the Fermi energy = 0.49 states/eV/atom



3) The following is a GGA-PBE calculation of a geometry-optimized Li2Ca2Pb structure, from Alexandria.

Cell and atoms, written as extended XYZ:
```
10
Lattice="8.6869 0.0000 0.0000 0.0000 8.6869 0.0000 0.0000 0.0000 4.0386" Properties=species:S:1:pos:R:3 pbc="T T T"
Li 1.2250 5.5685 2.0193
Li 5.5685 7.4619 2.0193
Li 7.4619 3.1185 2.0193
Li 3.1185 1.2250 2.0193
Ca 5.6808 1.3374 0.0000
Ca 7.3496 5.6808 0.0000
Ca 1.3374 3.0061 0.0000
Ca 3.0061 7.3496 0.0000
Pb 4.3435 4.3435 0.0000
Pb 0.0000 0.0000 0.0000
```

Computed properties:
DOS at the Fermi energy = 0.44 states/eV/atom



4) The following is a GGA-PBE calculation of a geometry-optimized Li2Ca2Pb structure, from Alexandria.

Cell and atoms, written as extended XYZ:
```
10
Lattice="4.8744 0.0000 0.0000 2.4372 5.6947 -0.3918 2.4372 0.1704 10.4012" Properties=species:S:1:pos:R:3 pbc="T T T"
Li 7.3116 5.1585 8.8391
Li 2.4372 0.7066 1.1702
Li 2.4372 1.4227 5.6059
Li 7.3116 4.4424 4.4035
Pb 4.8744 0.9170 6.8880
Pb 4.8744 4.9481 3.1214
Ca 7.3116 1.8065 9.0721
Ca 4.8744 1.6806 3.3769
Ca 2.4372 4.0586 0.9373
Ca 4.8744 4.1845 6.6324
```

Computed properties:
DOS at the Fermi energy = 0.78 states/eV/atom



It is 4) that is most stable; the runner-up trails by 5 meV per atom.